# CsCu2WBr

A relaxed CsCu2WBr crystal (PBE-GGA, Alexandria).

```
CsCu2WBr
1.0
5.4537 0.0000 0.0000
0.0000 5.4537 0.0000
0.0000 0.0000 6.9491
Cs Cu W Br
1 2 1 1
Direct
0.0000 0.0000 0.0000 Cs
0.0000 0.5000 0.0000 Cu
0.5000 0.0000 0.0000 Cu
0.0000 0.0000 0.5000 W
0.5000 0.5000 0.5000 Br
```

Uncorrected energy ... -2.29 eV/atom
DOS at the Fermi energy ... 4.97 states/eV/f.u.
Crystal system ... tetragonal